First-principles (PBE) data for a relaxed ZrAlRe2 crystal, as listed in Alexandria.

The formation energy is -0.102 eV per atom.

The structure belongs to space group P4/mmm (No. 123); the cell edges are 3.347, 3.347 and 5.919 Å and the angles 90.00°, 90.00° and 90.00°. The distinct sites, in fractional coordinates, are Zr at (0.000, 0.000, 0.000), Al at (0.000, 0.000, 0.500) and Re at (0.500, 0.500, 0.280).

---

First-principles (PBE) data for a relaxed Pm4CuPb2 crystal, as listed in Alexandria.

Its energy above the most stable polymorph in this dataset is 0.112 eV/atom. The formation energy is -0.226 eV per atom.

The structure belongs to space group I4/mmm (No. 139); the cell edges are 5.150, 5.150 and 17.108 Å and the angles 90.00°, 90.00° and 90.00°. The distinct sites, in fractional coordinates, are Pm at (0.000, 0.000, 0.177), Pm at (0.000, 0.500, 0.000), Cu at (0.000, 0.000, 0.000) and Pb at (0.000, 0.000, 0.364).

---

First-principles (PBE) data for a relaxed NaAlTeO4 crystal, as listed in Alexandria.

The calculation puts the formation energy from raw total energies at -12.1 eV/f.u.

The structure belongs to space group I-4 (No. 82); the cell edges are 5.451, 5.451 and 8.123 Å and the angles 90.00°, 90.00° and 90.00°. The distinct sites, in fractional coordinates, are Na at (0.000, 0.000, 0.000), Al at (0.000, 0.500, 0.750), Te at (0.000, 0.000, 0.500) and O at (0.162, 0.285, 0.625).

---

First-principles (PBE) data for a relaxed Mg2TlSeBr crystal, as listed in Alexandria.

The calculation puts the formation energy from raw total energies at -1.5 eV/f.u.

The structure belongs to space group P4/mmm (No. 123); the cell edges are 4.967, 4.967 and 7.696 Å and the angles 90.00°, 90.00° and 90.00°. The distinct sites, in fractional coordinates, are Mg at (0.000, 0.500, 0.000), Tl at (0.000, 0.000, 0.500), Se at (0.500, 0.500, 0.000) and Br at (0.500, 0.500, 0.500).

---

First-principles (PBE) data for a relaxed CaTcAs2 crystal, as listed in Alexandria.

Its energy above the most stable polymorph in this dataset is 0.060 eV/atom. The formation energy is -0.390 eV per atom.

The structure belongs to space group P4/mmm (No. 123); the cell edges are 3.183, 3.183 and 7.180 Å and the angles 90.00°, 90.00° and 90.00°. The distinct sites, in fractional coordinates, are Ca at (0.000, 0.000, 0.000), Tc at (0.000, 0.000, 0.500) and As at (0.500, 0.500, 0.295).

---

First-principles (PBE) data for a relaxed SmHS2 crystal, as listed in Alexandria.

Its energy above the most stable polymorph in this dataset is 0.000 eV/atom.

The structure belongs to space group Pmn2_1 (No. 31); the cell edges are 4.217, 6.193 and 6.837 Å and the angles 90.00°, 90.00° and 90.00°. The distinct sites, in fractional coordinates, are Sm at (0.000, 0.212, 0.000), H at (0.000, 0.343, 0.461), S at (0.000, 0.020, 0.642) and S at (0.000, 0.513, 0.331).